(1)
Compound: MnBeSnCl2
Source: Alexandria
Functional: PBE
Structure: optimized geometry

Properties
As for the calculated total energy: -4.06 eV/atom. The value obtained for the total magnetization is 3.6 μB/cell. As for the space-group type: P4/mmm.

Lattice parameters (Å, degrees): 4.1897 6.9079 4.1897 90.00 90.00 90.00
With the nearest neighbours (Å) after each atom.
Element x y z (fractional)
Be (0.0000, 0.0000, 0.0000)  4 Cl 2.09
Cl (0.0000, 0.0000, 0.5000)  2 Be 2.09
Cl (0.5000, 0.0000, 0.0000)  2 Be 2.09
Sn (0.5000, 0.5000, 0.5000)  4 Mn 2.96
Mn (0.0000, 0.5000, 0.0000)  4 Sn 2.96

(2)
Compound: MnBe2SnCl
Source: Alexandria
Functional: PBE
Structure: optimized geometry

Properties
As for the calculated total energy: -3.76 eV/atom. The value obtained for the total magnetization is 2.8 μB/cell. As for the space-group type: P4/mmm.

Lattice parameters (Å, degrees): 4.4223 5.1911 4.4223 90.00 90.00 90.00
With the nearest neighbours (Å) after each atom.
Element x y z (fractional)
Sn (0.0000, 0.5000, 0.0000)  2 Mn 2.60
Cl (0.5000, 0.5000, 0.5000)  4 Sn 3.13, 8 Be 3.41
Mn (0.0000, 0.0000, 0.0000)  4 Be 2.21
Be (0.5000, 0.0000, 0.0000)  2 Mn 2.21
Be (0.0000, 0.0000, 0.5000)  2 Mn 2.21

(3)
Compound: MnBe2TlCl8
Source: Alexandria
Functional: PBE
Structure: optimized geometry

Properties
As for the calculated total energy: -3.96 eV/atom. The value obtained for the total magnetization is 4.0 μB/cell. As for the space-group type: R-3.

Lattice parameters (Å, degrees): 5.9530 5.9530 10.1946 73.02 73.02 60.00
With the nearest neighbours (Å) after each atom.
Element x y z (fractional)
Be (0.2612, 0.2612, 0.2163)  4 Cl 1.97-2.06
Be (0.7388, 0.7388, 0.7837)  4 Cl 1.97-2.06
Cl (0.9621, 0.6186, 0.1490)  1 Be 2.06
Cl (0.1928, 0.1928, 0.4215)  1 Be 1.97
Cl (0.7297, 0.0379, 0.8510)  1 Be 2.06
Cl (0.6186, 0.2703, 0.1490)  1 Be 2.06
Cl (0.8072, 0.8072, 0.5785)  1 Be 1.97
Cl (0.2703, 0.9621, 0.1490)  1 Be 2.06
Cl (0.3814, 0.7297, 0.8510)  1 Be 2.06
Cl (0.0379, 0.3814, 0.8510)  1 Be 2.06
Tl (0.5000, 0.5000, 0.5000)  6 Cl 3.52
Mn (0.0000, 0.0000, 0.0000)  6 Cl 2.41

(4)
Compound: MnBeW2Cl
Source: Alexandria
Functional: PBE
Structure: optimized geometry

Properties
As for the calculated total energy: -6.66 eV/atom. The value obtained for the total magnetization is 0.0 μB/cell. As for the space-group type: P4/mmm.

Lattice parameters (Å, degrees): 4.5304 4.0612 4.5304 90.00 90.00 90.00
With the nearest neighbours (Å) after each atom.
Element x y z (fractional)
W (0.5000, 0.0000, 0.0000)  2 Mn 2.27
W (0.0000, 0.0000, 0.5000)  2 Mn 2.27
Be (0.0000, 0.5000, 0.0000)  2 Mn 2.03
Mn (0.0000, 0.0000, 0.0000)  2 Be 2.03, 4 W 2.27
Cl (0.5000, 0.5000, 0.5000)  8 W 3.04, 4 Be 3.20

(5)
Compound: MnBe2ZnCl
Source: Alexandria
Functional: PBE
Structure: optimized geometry

Properties
As for the calculated total energy: -2.96 eV/atom. The value obtained for the total magnetization is 2.9 μB/cell. As for the space-group type: P4/mmm.

Lattice parameters (Å, degrees): 4.0834 4.3851 4.0834 90.00 90.00 90.00
With the nearest neighbours (Å) after each atom.
Element x y z (fractional)
Be (0.5000, 0.0000, 0.0000)  2 Cl 2.04
Be (0.0000, 0.0000, 0.5000)  2 Cl 2.04
Zn (0.5000, 0.5000, 0.5000)  4 Mn 2.89, 8 Be 3.00
Mn (0.0000, 0.5000, 0.0000)  2 Cl 2.19
Cl (0.0000, 0.0000, 0.0000)  4 Be 2.04, 2 Mn 2.19

(6)
Compound: Be2MoCl
Source: Alexandria
Functional: PBE
Structure: optimized geometry

Properties
As for the calculated total energy: -4.62 eV/atom. The value obtained for the total magnetization is 0.0 μB/cell. As for the space-group type: P4/mmm.

Lattice parameters (Å, degrees): 2.7797 2.7797 7.1407 90.00 90.00 90.00
With the nearest neighbours (Å) after each atom.
Element x y z (fractional)
Be (0.0000, 0.0000, 0.9879)  4 Mo 2.60, 4 Cl 2.71, 4 Be 2.78
Be (0.0000, 0.0000, 0.5121)  4 Mo 2.60, 4 Cl 2.71, 4 Be 2.78
Mo (0.5000, 0.5000, 0.7500)  8 Be 2.60, 4 Mo 2.78
Cl (0.5000, 0.5000, 0.2500)  8 Be 2.71, 4 Cl 2.78

(7)
Compound: Be2MoCl
Source: Alexandria
Functional: PBE
Structure: optimized geometry

Properties
As for the calculated total energy: -4.68 eV/atom. The value obtained for the total magnetization is 0.0 μB/cell. As for the space-group type: P2/m.

Lattice parameters (Å, degrees): 3.0561 3.2570 5.8298 73.04 90.00 90.00
With the nearest neighbours (Å) after each atom.
Element x y z (fractional)
Be (0.0000, 0.1651, 0.9368)  1 Be 2.09
Be (0.0000, 0.3349, 0.5632)  1 Be 2.09
Mo (0.5000, 0.7500, 0.7500)  8 Be 2.44-2.49
Cl (0.5000, 0.2500, 0.2500)  4 Be 2.46

(8)
Compound: BeMoCl
Source: Alexandria
Functional: PBE
Structure: optimized geometry

Properties
As for the calculated total energy: -5.04 eV/atom. The value obtained for the total magnetization is 0.0 μB/cell. As for the space-group type: Fmm2.

Lattice parameters (Å, degrees): 6.5873 6.1827 3.0150 83.96 68.97 27.07
With the nearest neighbours (Å) after each atom.
Element x y z (fractional)
Be (0.9880, 0.9880, 0.0120)  2 Cl 2.11
Mo (0.6549, 0.6549, 0.3451)  2 Be 2.45
Cl (0.3571, 0.3571, 0.6429)  2 Be 2.11

(9)
Compound: Be2MoCl
Source: Alexandria
Functional: PBE
Structure: optimized geometry

Properties
As for the calculated total energy: -4.84 eV/atom. The value obtained for the total magnetization is 0.0 μB/cell. As for the space-group type: Cm.

Lattice parameters (Å, degrees): 3.8419 3.8419 6.0147 83.50 83.50 43.83
With the nearest neighbours (Å) after each atom.
Element x y z (fractional)
Cl (0.6572, 0.6572, 0.5098)  1 Be 2.04
Be (0.6767, 0.6767, 0.8460)  1 Cl 2.04, 3 Be 2.20-2.24
Be (0.9503, 0.9503, 0.9802)  3 Be 2.20-2.24, 3 Mo 2.31-2.37
Mo (0.2158, 0.2158, 0.1640)  5 Be 2.31-2.43, 2 Cl 2.52

(10)
Compound: Be2MoCl
Source: Alexandria
Functional: PBE
Structure: optimized geometry

Properties
As for the calculated total energy: -4.46 eV/atom. The value obtained for the total magnetization is 0.0 μB/cell. As for the space-group type: Imm2.

Lattice parameters (Å, degrees): 4.7707 4.7707 4.7707 145.49 123.63 67.80
With the nearest neighbours (Å) after each atom.
Element x y z (fractional)
Be (0.7603, 0.2603, 0.5000)  2 Be 2.22, 2 Cl 2.42
Be (0.9771, 0.9771, 0.0000)  2 Be 2.22
Cl (0.5119, 0.5119, 0.0000)  6 Be 2.42-2.68, 2 Mo 2.51
Mo (0.2506, 0.7506, 0.5000)  2 Cl 2.51, 6 Be 2.59-2.66

(11)
Compound: Be2MoCl
Source: Alexandria
Functional: PBE
Structure: optimized geometry

Properties
As for the calculated total energy: -4.40 eV/atom. The value obtained for the total magnetization is 0.0 μB/cell. As for the space-group type: C2/m.

Lattice parameters (Å, degrees): 4.5454 4.8963 2.7572 74.70 87.81 116.96
With the nearest neighbours (Å) after each atom.
Element x y z (fractional)
Mo (0.5000, 0.5000, 0.0000)  4 Be 2.47, 4 Cl 2.61-2.70, 2 Mo 2.76
Be (0.5000, 0.0000, 0.5000)  2 Cl 2.47, 2 Mo 2.47, 6 Be 2.61-2.76
Be (0.0000, 0.0000, 0.0000)  2 Mo 2.47, 2 Cl 2.47, 6 Be 2.61-2.76
Cl (0.0000, 0.5000, 0.5000)  4 Be 2.47, 4 Mo 2.61-2.70, 2 Cl 2.76

(12)
Compound: Be2MoCl
Source: Alexandria
Functional: PBE
Structure: optimized geometry

Properties
As for the calculated total energy: -4.31 eV/atom. The value obtained for the total magnetization is 0.0 μB/cell. As for the space-group type: Pmmm.

Lattice parameters (Å, degrees): 2.7608 4.2411 4.4350 90.00 90.00 90.00
With the nearest neighbours (Å) after each atom.
Element x y z (fractional)
Cl (0.5000, 0.0000, 0.5000)  4 Mo 2.53, 4 Be 2.61, 2 Cl 2.76
Mo (0.0000, 0.5000, 0.5000)  4 Cl 2.53, 4 Be 2.61, 2 Mo 2.76
Be (0.0000, 0.0000, 0.0000)  6 Be 2.53-2.76, 4 Cl 2.61
Be (0.5000, 0.5000, 0.0000)  6 Be 2.53-2.76, 4 Mo 2.61